Here is a relaxed structure of VZnSiO5 from Alexandria via LeMat-Bulk. Energies are from PBE+U.

```
VZnSiO5
1.0
-0.399 -1.017 -5.093
5.373 -1.072 0.872
-3.740 -5.112 3.495
O V Si Zn
10 2 2 2
Direct
0.601 0.950 0.270
0.837 0.343 0.664
0.399 0.050 0.730
0.163 0.657 0.336
0.133 0.810 0.928
0.418 0.347 0.131
0.582 0.653 0.869
0.738 0.769 0.573
0.867 0.190 0.072
0.262 0.231 0.427
0.500 0.000 0.000
0.500 0.000 0.500
0.185 0.353 0.244
0.815 0.647 0.756
0.226 0.341 0.722
0.774 0.659 0.278
```

Calculated values
**Electronic total energy**: -0.513 Ry per atom
**Calculated density**: 4.1 Mg/m³
**Space group**: No. 2